Computed, not measured: crystalline LiPrDyTe3 at its relaxed geometry at the GGA-PBE level of DFT. Values from VASP.

Results
formation energy (no corrections): -1290 meV per atom
space-group type: P2_1/m (11)
crystal system: monoclinic

Cell and atoms, written as Quantum ESPRESSO input:
```
&SYSTEM
  ibrav = 0, nat = 12, ntyp = 4
/
ATOMIC_SPECIES
Li 6.94 Li.upf
Pr 140.91 Pr.upf
Dy 162.50 Dy.upf
Te 127.60 Te.upf
CELL_PARAMETERS angstrom
9.0219 0.0000 0.0000
0.0000 4.2999 0.0000
-2.2617 0.0000 9.2857
ATOMIC_POSITIONS crystal
Li 0.0847 0.2500 0.0858
Li 0.9153 0.7500 0.9142
Pr 0.1902 0.2500 0.7336
Pr 0.8098 0.7500 0.2664
Dy 0.3310 0.7500 0.3410
Dy 0.6690 0.2500 0.6590
Te 0.0930 0.2500 0.3749
Te 0.2324 0.7500 0.0033
Te 0.4340 0.7500 0.6753
Te 0.5660 0.2500 0.3247
Te 0.7676 0.2500 0.9967
Te 0.9070 0.7500 0.6251
```

Computed, not measured: crystalline RbLiGeTe2 at its relaxed geometry at the GGA-PBE level of DFT. Values from VASP.

Results
formation energy (no corrections): -450 meV per atom
space-group type: Cmme (67)
crystal system: orthorhombic

Cell and atoms, written as Quantum ESPRESSO input:
```
&SYSTEM
  ibrav = 0, nat = 10, ntyp = 4
/
ATOMIC_SPECIES
Rb 85.47 Rb.upf
Li 6.94 Li.upf
Ge 72.64 Ge.upf
Te 127.60 Te.upf
CELL_PARAMETERS angstrom
2.7525 -8.4787 0.0000
2.7525 8.4787 0.0000
0.0000 0.0000 7.2854
ATOMIC_POSITIONS crystal
Rb 0.2500 0.7500 0.7572
Rb 0.7500 0.2500 0.2428
Li 0.2500 0.2500 0.5000
Li 0.7500 0.7500 0.5000
Ge 0.0000 0.0000 0.0000
Ge 0.5000 0.5000 0.0000
Te 0.1099 0.8901 0.2855
Te 0.3901 0.6099 0.2855
Te 0.6099 0.3901 0.7145
Te 0.8901 0.1099 0.7145
```

Computed, not measured: crystalline TbSm2ZrN4 at its relaxed geometry at the GGA-PBE level of DFT. Values from VASP.

Results
formation energy (no corrections): -1600 meV per atom
space-group type: P2/m (10)
crystal system: monoclinic

Cell and atoms, written as Quantum ESPRESSO input:
```
&SYSTEM
  ibrav = 0, nat = 8, ntyp = 4
/
ATOMIC_SPECIES
Tb 158.93 Tb.upf
Sm 150.36 Sm.upf
Zr 91.22 Zr.upf
N 14.01 N.upf
CELL_PARAMETERS angstrom
6.0013 0.0000 0.0000
0.0000 3.4590 0.0000
-1.9779 0.0000 5.6929
ATOMIC_POSITIONS crystal
Tb 0.0000 0.0000 0.0000
Sm 0.0000 0.5000 0.5000
Sm 0.5000 0.0000 0.5000
Zr 0.5000 0.5000 0.0000
N 0.2573 0.5000 0.2341
N 0.2669 0.0000 0.7711
N 0.7331 0.0000 0.2289
N 0.7427 0.5000 0.7659
```

Computed, not measured: crystalline K3Ga2Hg4 at its relaxed geometry at the GGA-PBE level of DFT. Values from VASP.

Results
space-group type: C2/m (12)
crystal system: monoclinic
calculated formation energy: -0.1886 eV per atom

Cell and atoms, written as Quantum ESPRESSO input:
```
&SYSTEM
  ibrav = 0, nat = 9, ntyp = 3
/
ATOMIC_SPECIES
K 39.10 K.upf
Ga 69.72 Ga.upf
Hg 200.59 Hg.upf
CELL_PARAMETERS angstrom
6.3071 -2.5199 0.0000
6.3071 2.5199 0.0000
-3.6649 0.0000 9.1595
ATOMIC_POSITIONS crystal
K 0.0000 0.0000 0.0000
K 0.3824 0.3824 0.3138
K 0.6176 0.6176 0.6862
Ga 0.3307 0.3307 0.6681
Ga 0.6693 0.6693 0.3319
Hg 0.1215 0.1215 0.4199
Hg 0.2741 0.2741 0.9224
Hg 0.7259 0.7259 0.0776
Hg 0.8785 0.8785 0.5801
```

Computed, not measured: crystalline PrSc3Ge2 at its relaxed geometry at the GGA-PBE level of DFT. Values from VASP.

Results
space-group type: C2/m (12)
crystal system: monoclinic
calculated formation energy: -0.5787 eV per atom

Cell and atoms, written as Quantum ESPRESSO input:
```
&SYSTEM
  ibrav = 0, nat = 12, ntyp = 3
/
ATOMIC_SPECIES
Pr 140.91 Pr.upf
Sc 44.96 Sc.upf
Ge 72.64 Ge.upf
CELL_PARAMETERS angstrom
8.6337 -2.1477 0.0000
8.6337 2.1477 0.0000
-4.2544 0.0000 7.6989
ATOMIC_POSITIONS crystal
Pr 0.1320 0.1320 0.1796
Pr 0.8680 0.8680 0.8204
Sc 0.0495 0.0495 0.7124
Sc 0.3142 0.3142 0.0933
Sc 0.3944 0.3944 0.5006
Sc 0.6056 0.6056 0.4994
Sc 0.6858 0.6858 0.9067
Sc 0.9505 0.9505 0.2876
Ge 0.2135 0.2135 0.7106
Ge 0.4851 0.4851 0.1296
Ge 0.5149 0.5149 0.8704
Ge 0.7865 0.7865 0.2894
```

Computed, not measured: crystalline P2RhPb at its relaxed geometry at the GGA-PBE level of DFT. Values from VASP.

Results
space-group type: Imm2 (44)
crystal system: orthorhombic
calculated formation energy: 0.2642 eV per atom

Cell and atoms, written as Quantum ESPRESSO input:
```
&SYSTEM
  ibrav = 0, nat = 4, ntyp = 3
/
ATOMIC_SPECIES
P 30.97 P.upf
Rh 102.91 Rh.upf
Pb 207.20 Pb.upf
CELL_PARAMETERS angstrom
-1.6116 2.8831 4.1496
1.6116 -2.8831 4.1496
1.6116 2.8831 -4.1496
ATOMIC_POSITIONS crystal
P 0.0000 0.0000 0.0000
P 0.8143 0.3143 0.5000
Rh 0.6152 0.6152 0.0000
Pb 0.3104 0.8104 0.5000
```